The following is a DFT calculation (meta-GGA SCAN) of a PBEsol-optimized structure of CuAgAu2.

a = 2.8190 Å, b = 4.8184 Å, c = 4.9052 Å
α = 102.05°, β = 106.70°, γ = 90.00°
With the nearest neighbours (Å) after each atom.
Positions (direct):
Cu 0.4990 0.4944 0.9980  7 Au 2.68-2.90, 3 Ag 2.73-2.94, 2 Cu 2.82
Ag 0.2411 0.7465 0.4822  3 Cu 2.73-2.94, 7 Au 2.76-2.84, 2 Ag 2.82
Au 0.7598 0.2641 0.5196  3 Cu 2.68-2.90, 4 Ag 2.76-2.84, 5 Au 2.82-2.87
Au 0.0001 0.9950 0.0002  3 Ag 2.78-2.84, 4 Cu 2.79, 5 Au 2.82-2.87

Values from the calculation:
The calculation puts the final energy at -46.2490 eV per atom. The calculation puts the formation energy at -28.9 meV/atom. The space group is No. 8. The calculated volume is 62.28 Å³/cell. The calculation puts the total moment at 0.0 μB/f.u.